A plane-wave DFT calculation with GGA+U was carried out for crystalline Ca2MnO2 at its relaxed geometry.

Values from the calculation:
total magnetic moment	5.0	μB/f.u.
DOS(E_F)	0.97	states/eV/f.u.
raw total energy	-5.89	eV/atom

```
data_Ca2MnO2
_chemical_formula_sum 'Ca4 Mn2 O4'
_space_group_name_H-M_alt 'I 4/m m m'
_space_group_IT_number 139
_space_group_name_Hall '-I 4 2'
_cell_length_a 4.316
_cell_length_b 4.316
_cell_length_c 11.594
_cell_angle_alpha 90.00
_cell_angle_beta 90.00
_cell_angle_gamma 90.00
loop_
_atom_site_label
_atom_site_fract_x
_atom_site_fract_y
_atom_site_fract_z
_atom_site_occupancy
Ca1 0.000 0.000 0.190 1
Mn1 0.000 0.000 0.500 1
O1 0.000 0.500 0.250 1
```